Record 1
A geometry-optimized KSb2TeAs structure, computed with GGA-PBE.

Unit cell a=5.4766 b=5.4766 c=5.7981 alpha=90.00 beta=90.00 gamma=90.00
Closest atoms and distances in Å follow each position.
Fractional positions:
K1 0.0000 0.0000 0.0000  4 Te 3.87, 8 Sb 3.99
Sb1 0.0000 0.5000 0.5000  2 As 2.74
Sb2 0.5000 0.0000 0.5000  2 As 2.74
Te1 0.5000 0.5000 0.0000  2 As 2.90
As1 0.5000 0.5000 0.5000  4 Sb 2.74, 2 Te 2.90

For the uncorrected formation energy, the calculation gives 0.166 eV per atom. As for the crystal system: tetragonal. The value obtained for the electronic total energy is -16.3 eV per cell. The value obtained for the size of the total moment is 0.203 μB/atom.

***

Record 2
A geometry-optimized KTl2GaBr4 structure, computed with GGA-PBE.

Unit cell a=8.1017 b=4.6835 c=8.1424 alpha=90.00 beta=109.33 gamma=90.00
Closest atoms and distances in Å follow each position.
Fractional positions:
K1 0.0000 0.0000 0.0000  6 Br 3.29
Tl1 0.0000 0.5000 0.5000  6 Br 3.40
Tl2 0.5000 0.0000 0.5000  6 Br 3.34-3.35
Ga1 0.5000 0.5000 0.0000  6 Br 3.23
Br1 0.2520 0.5000 0.2391  1 Ga 3.23, 2 K 3.29, 3 Tl 3.35-3.40
Br2 0.2605 0.0000 0.7646  2 Ga 3.23, 1 K 3.29, 3 Tl 3.34-3.40
Br3 0.7395 0.0000 0.2354  2 Ga 3.23, 1 K 3.29, 3 Tl 3.34-3.40
Br4 0.7480 0.5000 0.7609  1 Ga 3.23, 2 K 3.29, 3 Tl 3.35-3.40

For the uncorrected formation energy, the calculation gives -0.996 eV per atom. As for the crystal system: monoclinic. The value obtained for the electronic total energy is -23.5 eV per cell. The value obtained for the size of the total moment is 0.000 μB/atom.

***

Record 3
A geometry-optimized SbH structure, computed with GGA-PBE.

Unit cell a=9.6409 b=9.6409 c=3.0797 alpha=90.00 beta=90.00 gamma=120.00
Closest atoms and distances in Å follow each position.
Fractional positions:
Sb1 0.1518 0.6876 0.2500  1 H 1.82
Sb2 0.3124 0.4642 0.2500  1 H 1.82
Sb3 0.4642 0.1518 0.7500  1 H 1.82
Sb4 0.5358 0.8482 0.2500  1 H 1.82
Sb5 0.6876 0.5358 0.7500  1 H 1.82
Sb6 0.8482 0.3124 0.7500  1 H 1.82
H1 0.0956 0.3407 0.2500  1 Sb 1.82
H2 0.2451 0.9044 0.2500  1 Sb 1.82
H3 0.3407 0.2451 0.7500  1 Sb 1.82
H4 0.6593 0.7549 0.2500  1 Sb 1.82
H5 0.7549 0.0956 0.7500  1 Sb 1.82
H6 0.9044 0.6593 0.7500  1 Sb 1.82

As for the crystal system: hexagonal. The value obtained for the electronic total energy is -39.9 eV per cell. The value obtained for the size of the total moment is 0.000 μB/atom.

***

Record 4
A geometry-optimized SrLi2Ru structure, computed with GGA-PBE.

Unit cell a=10.2180 b=10.2180 c=10.2180 alpha=155.67 beta=155.67 gamma=34.68
Closest atoms and distances in Å follow each position.
Fractional positions:
Sr1 0.0000 0.0000 0.0000  4 Ru 3.05, 4 Li 3.07
Sr2 0.7500 0.2500 0.5000  4 Ru 3.05, 4 Li 3.07
Li1 0.2277 0.6250 0.1027  2 Li 2.50, 2 Ru 2.74
Li2 0.3750 0.4777 0.6027  2 Li 2.50, 2 Ru 2.74
Li3 0.5223 0.1250 0.8973  2 Li 2.50, 2 Ru 2.74
Li4 0.8750 0.7723 0.3973  2 Li 2.50, 2 Ru 2.74
Ru1 0.2500 0.7500 0.5000  4 Li 2.74, 4 Sr 3.05
Ru2 0.5000 0.5000 0.0000  4 Li 2.74, 4 Sr 3.05

As for the crystal system: tetragonal. The value obtained for the electronic total energy is -25.0 eV per cell. For the formation energy, the calculation gives 568 meV/atom. The value obtained for the size of the total moment is 0.110 μB/atom.

***

Record 5
A geometry-optimized Sr5Ta structure, computed with GGA-PBE.

Unit cell a=6.8571 b=6.8571 c=6.2763 alpha=90.00 beta=90.00 gamma=120.00
Closest atoms and distances in Å follow each position.
Fractional positions:
Sr1 0.0000 0.6937 0.0000  6 Sr 3.64-3.94, 2 Ta 3.78
Sr2 0.3063 0.3063 0.0000  6 Sr 3.64-3.94, 2 Ta 3.78
Sr3 0.3333 0.6667 0.5000  9 Sr 3.94-3.96, 3 Ta 3.96
Sr4 0.6667 0.3333 0.5000  9 Sr 3.94-3.96, 3 Ta 3.96
Sr5 0.6937 0.0000 0.0000  6 Sr 3.64-3.94, 2 Ta 3.78
Ta1 0.0000 0.0000 0.5000  12 Sr 3.78-3.96

As for the crystal system: hexagonal. The value obtained for the electronic total energy is -16.5 eV per cell. For the formation energy, the calculation gives 619 meV/atom. The value obtained for the size of the total moment is 0.545 μB/atom.

***

Record 6
A geometry-optimized CeSeO4F structure, computed with GGA-PBE.

Unit cell a=6.0301 b=6.0301 c=6.9394 alpha=102.59 beta=102.59 gamma=76.04
Closest atoms and distances in Å follow each position.
Fractional positions:
Ce1 0.2093 0.2093 0.1246  2 F 2.31-2.32, 4 O 2.41-2.43
Ce2 0.7907 0.7907 0.8754  2 F 2.31-2.32, 4 O 2.41-2.43
Se1 0.3498 0.3498 0.7203  4 O 1.67-1.72
Se2 0.6502 0.6502 0.2797  4 O 1.67-1.72
O1 0.1305 0.4801 0.8544  1 Se 1.72
O2 0.2446 0.2446 0.4844  1 Se 1.67
O3 0.4713 0.4713 0.2626  1 Se 1.67
O4 0.4801 0.1305 0.8544  1 Se 1.72
O5 0.5199 0.8695 0.1456  1 Se 1.72
O6 0.5287 0.5287 0.7374  1 Se 1.67
O7 0.7554 0.7554 0.5156  1 Se 1.67
O8 0.8695 0.5199 0.1456  1 Se 1.72
F1 0.0216 0.0216 0.8283  2 Ce 2.31-2.32, 1 F 2.53
F2 0.9784 0.9784 0.1717  2 Ce 2.31-2.32, 1 F 2.53

For the uncorrected formation energy, the calculation gives -1.997 eV per atom. As for the crystal system: monoclinic. The value obtained for the electronic total energy is -90.2 eV per cell. The value obtained for the size of the total moment is 0.146 μB/atom.

***

electronic total energy of number 6 (CeSeO4F)? -90.2 eV per cell

***

Repeat the first record exactly.
A geometry-optimized KSb2TeAs structure, computed with GGA-PBE.

Unit cell a=5.4766 b=5.4766 c=5.7981 alpha=90.00 beta=90.00 gamma=90.00
Closest atoms and distances in Å follow each position.
Fractional positions:
K1 0.0000 0.0000 0.0000  4 Te 3.87, 8 Sb 3.99
Sb1 0.0000 0.5000 0.5000  2 As 2.74
Sb2 0.5000 0.0000 0.5000  2 As 2.74
Te1 0.5000 0.5000 0.0000  2 As 2.90
As1 0.5000 0.5000 0.5000  4 Sb 2.74, 2 Te 2.90

For the uncorrected formation energy, the calculation gives 0.166 eV per atom. As for the crystal system: tetragonal. The value obtained for the electronic total energy is -16.3 eV per cell. The value obtained for the size of the total moment is 0.203 μB/atom.

***

Among the records above, which one has the highest electronic total energy? KSb2TeAs

***

Number 2 is which compound? KTl2GaBr4